1.
This record from Alexandria describes crystalline InBiSb3 at its relaxed geometry. The functional is PBEsol.

- Raw formation energy: 715 meV per atom
- D(E_F): 4.77 states/eV/cell
- ρ: 6.99 Mg/m³

Cell lengths 5.469, 5.469, 5.469 Å; angles 90.00, 90.00, 90.00 degrees
Positions (direct):
Sb 0.000 0.500 0.000
Sb 0.000 0.000 0.500
Sb 0.500 0.000 0.000
Bi 0.500 0.500 0.500
In 0.000 0.000 0.000


2.
This record from Alexandria describes crystalline In2BiSb2 at its relaxed geometry. The functional is PBEsol.

- Raw formation energy: 54 meV per atom
- D(E_F): 4.79 states/eV/cell
- ρ: 8.15 Mg/m³

Cell lengths 3.905, 8.437, 8.437 Å; angles 90.00, 90.00, 90.00 degrees
Positions (direct):
Sb 0.000 0.346 0.846
Sb 0.000 0.846 0.654
Sb 0.000 0.654 0.154
Sb 0.000 0.154 0.346
Bi 0.000 0.000 0.000
Bi 0.000 0.500 0.500
In 0.500 0.146 0.646
In 0.500 0.646 0.854
In 0.500 0.854 0.354
In 0.500 0.354 0.146


3.
This record from Alexandria describes crystalline Sc2In2Bi at its relaxed geometry. The functional is PBEsol.

- Formation enthalpy at 0 K: 2.8 kJ per mole of atoms
- D(E_F): 5.82 states/eV/cell
- ρ: 6.65 Mg/m³

Cell lengths 4.570, 4.570, 7.100 Å; angles 108.78, 108.78, 90.00 degrees
Last column: magnetic moment on the atom in μB.
Positions (direct):
Sc 0.250 0.750 0.500  0.12
Sc 0.750 0.250 0.500  0.12
Bi 0.000 0.000 0.000  0.00
In 0.394 0.394 0.787  0.00
In 0.606 0.606 0.213  0.00


4.
This record from Alexandria describes crystalline InBi2Se2 at its relaxed geometry. The functional is PBEsol.

- Raw formation energy: -75 meV per atom
- D(E_F): 5.12 states/eV/cell
- ρ: 8.67 Mg/m³

Cell lengths 3.742, 8.407, 8.407 Å; angles 90.00, 90.00, 90.00 degrees
Positions (direct):
Bi 0.500 0.167 0.667
Bi 0.500 0.667 0.833
Bi 0.500 0.833 0.333
Bi 0.500 0.333 0.167
Se 0.000 0.353 0.853
Se 0.000 0.853 0.647
Se 0.000 0.647 0.147
Se 0.000 0.147 0.353
In 0.000 0.000 0.000
In 0.000 0.500 0.500


5.
This record from Alexandria describes crystalline InBi3Se6 at its relaxed geometry. The functional is PBEsol.

- Raw formation energy: -408 meV per atom
- ρ: 7.38 Mg/m³

Cell lengths 4.086, 4.086, 19.059 Å; angles 83.85, 83.85, 60.00 degrees
Positions (direct):
Bi 0.700 0.700 0.899
Bi 0.299 0.299 0.103
Bi 0.802 0.802 0.595
Se 0.604 0.604 0.187
Se 0.107 0.107 0.678
Se 0.890 0.890 0.331
Se 0.395 0.395 0.815
Se 0.000 0.000 0.001
Se 0.503 0.503 0.492
In 0.200 0.200 0.399


6.
This record from Alexandria describes crystalline InBiSe3 at its relaxed geometry. The functional is PBEsol.

- Raw formation energy: -436 meV per atom
- ρ: 7.02 Mg/m³

Cell lengths 4.039, 4.039, 9.671 Å; angles 77.95, 77.95, 60.00 degrees
Positions (direct):
Bi 0.602 0.602 0.195
Se 0.781 0.781 0.657
Se 0.211 0.211 0.366
Se 0.005 0.005 0.984
In 0.401 0.401 0.798


7.
This record from Alexandria describes crystalline InSi2Bi2 at its relaxed geometry. The functional is PBEsol.

- Raw formation energy: 205 meV per atom
- D(E_F): 2.72 states/eV/cell
- ρ: 8.10 Mg/m³

Cell lengths 3.467, 3.467, 10.336 Å; angles 99.65, 99.65, 90.00 degrees
Positions (direct):
Si 0.250 0.750 0.500
Si 0.750 0.250 0.500
Bi 0.382 0.382 0.765
Bi 0.618 0.618 0.235
In 0.000 0.000 0.000


8.
This record from Alexandria describes crystalline In2Sn2Bi at its relaxed geometry. The functional is PBEsol.

- Formation enthalpy at 0 K: 4.3 kJ per mole of atoms
- D(E_F): 5.74 states/eV/cell
- ρ: 8.28 Mg/m³

Cell lengths 3.516, 8.782, 8.782 Å; angles 90.00, 90.00, 90.00 degrees
Positions (direct):
In 0.500 0.145 0.645
In 0.500 0.645 0.855
In 0.500 0.855 0.355
In 0.500 0.355 0.145
Bi 0.000 0.000 0.000
Bi 0.000 0.500 0.500
Sn 0.000 0.347 0.847
Sn 0.000 0.847 0.653
Sn 0.000 0.653 0.153
Sn 0.000 0.153 0.347


| no. | final energy (eV/cell) |
| --- | --- |
| 1 | -17.4 |
| 2 | -38.2 |
| 3 | -23.3 |
| 4 | -39.3 |
| 5 | -43.0 |
| 6 | -21.0 |
| 7 | -22.0 |
| 8 | -37.1 |